[1]
The following is a DFT calculation (PBE-GGA) of a relaxed NaTl2OsO4 crystal.

Output
**Size of the total moment**: 1.01 μB/f.u.
**ΔE_f (raw)**: -0.828 eV/atom
**Total DFT energy (no corrections)**: -349.93 eV for the cell shown
**Theoretical density**: 5.56 g/cm³
**D(E_F)**: 0.688 states/eV per atom

Cell and atoms, written as CIF:
```
data_NaTl2OsO4
_cell_length_a 6.3471
_cell_length_b 12.3329
_cell_length_c 20.9336
_cell_angle_alpha 90.00
_cell_angle_beta 90.00
_cell_angle_gamma 90.00
_space_group_name_H-M_alt 'F d d d'
_space_group_IT_number 70
loop_
_space_group_symop_operation_xyz
'x,y,z'
'-x,-y,-z'
'-x+1/4,-y+1/4,z'
'x+1/4,y+1/4,-z'
'x,-y+1/4,-z+1/4'
'-x,y+1/4,z+1/4'
'-x+1/4,y,-z+1/4'
'x+1/4,-y,z+1/4'
'x,y+1/2,z+1/2'
'-x,-y+1/2,-z+1/2'
'-x+1/4,-y+3/4,z+1/2'
'x+1/4,y+3/4,-z+1/2'
'x,-y+3/4,-z+3/4'
'-x,y+3/4,z+3/4'
'-x+1/4,y+1/2,-z+3/4'
'x+1/4,-y+1/2,z+3/4'
'x+1/2,y,z+1/2'
'-x+1/2,-y,-z+1/2'
'-x+3/4,-y+1/4,z+1/2'
'x+3/4,y+1/4,-z+1/2'
'x+1/2,-y+1/4,-z+3/4'
'-x+1/2,y+1/4,z+3/4'
'-x+3/4,y,-z+3/4'
'x+3/4,-y,z+3/4'
'x+1/2,y+1/2,z'
'-x+1/2,-y+1/2,-z'
'-x+3/4,-y+3/4,z'
'x+3/4,y+3/4,-z'
'x+1/2,-y+3/4,-z+1/4'
'-x+1/2,y+3/4,z+1/4'
'-x+3/4,y+1/2,-z+1/4'
'x+3/4,-y+1/2,z+1/4'
loop_
_atom_site_label
_atom_site_type_symbol
_atom_site_fract_x
_atom_site_fract_y
_atom_site_fract_z
Na1 Na 0.1250 0.1250 0.1250
Tl1 Tl 0.1250 0.1250 0.2960
Os1 Os 0.1250 0.1250 0.6250
O1 O 0.0822 0.2689 0.8768
```

=====

[2]
The following is a DFT calculation (PBE-GGA) of a relaxed NaTlOsO6 crystal.

Output
**Size of the total moment**: 0.00 μB/f.u.
**ΔE_f (raw)**: -0.867 eV/atom
**Total DFT energy (no corrections)**: -52.47 eV for the cell shown
**Theoretical density**: 7.17 g/cm³

Cell and atoms, written as CIF:
```
data_NaTlOsO6
_cell_length_a 5.4501
_cell_length_b 5.4501
_cell_length_c 4.6223
_cell_angle_alpha 90.00
_cell_angle_beta 90.00
_cell_angle_gamma 120.00
_space_group_name_H-M_alt 'P 3 1 2'
_space_group_IT_number 149
loop_
_space_group_symop_operation_xyz
'x,y,z'
'-y,x-y,z'
'-x+y,-x,z'
'-y,-x,-z'
'-x+y,y,-z'
'x,x-y,-z'
loop_
_atom_site_label
_atom_site_type_symbol
_atom_site_fract_x
_atom_site_fract_y
_atom_site_fract_z
Na1 Na 0.0000 0.0000 0.0000
Tl1 Tl 0.3333 0.6667 0.5000
Os1 Os 0.6667 0.3333 0.0000
O1 O 0.3893 0.0478 0.7670
```

=====

[3]
The following is a DFT calculation (PBE-GGA) of a relaxed Na2TlOsO4 crystal.

Output
**Size of the total moment**: 1.02 μB/f.u.
**ΔE_f (raw)**: -1.091 eV/atom
**Total DFT energy (no corrections)**: -89.59 eV for the cell shown
**Theoretical density**: 6.26 g/cm³
**D(E_F)**: 0.647 states/eV per atom

Cell and atoms, written as CIF:
```
data_Na2TlOsO4
_cell_length_a 5.9139
_cell_length_b 5.9139
_cell_length_c 7.6483
_cell_angle_alpha 90.00
_cell_angle_beta 90.00
_cell_angle_gamma 90.00
_space_group_name_H-M_alt 'I -4'
_space_group_IT_number 82
loop_
_space_group_symop_operation_xyz
'x,y,z'
'y,-x,-z'
'-x,-y,z'
'-y,x,-z'
'x+1/2,y+1/2,z+1/2'
'y+1/2,-x+1/2,-z+1/2'
'-x+1/2,-y+1/2,z+1/2'
'-y+1/2,x+1/2,-z+1/2'
loop_
_atom_site_label
_atom_site_type_symbol
_atom_site_fract_x
_atom_site_fract_y
_atom_site_fract_z
Na1 Na 0.0000 0.0000 0.0000
Na2 Na 0.0000 0.5000 0.2500
Tl1 Tl 0.0000 0.0000 0.5000
Os1 Os 0.0000 0.5000 0.7500
O1 O 0.1798 0.7509 0.7950
```

=====

[4]
The following is a DFT calculation (PBE-GGA) of a relaxed NaTl2Os3O12 crystal.

Output
**Size of the total moment**: 0.00 μB/f.u.
**ΔE_f (raw)**: -0.979 eV/atom
**Total DFT energy (no corrections)**: -350.57 eV for the cell shown
**Theoretical density**: 7.45 g/cm³
**D(E_F)**: 0.062 states/eV per atom

Cell and atoms, written as CIF:
```
data_NaTl2Os3O12
_cell_length_a 7.3691
_cell_length_b 7.3691
_cell_length_c 16.9947
_cell_angle_alpha 90.00
_cell_angle_beta 90.00
_cell_angle_gamma 120.00
_space_group_name_H-M_alt 'R -3 m'
_space_group_IT_number 166
_space_group_name_Hall '-R 3 2"'
loop_
_atom_site_label
_atom_site_type_symbol
_atom_site_fract_x
_atom_site_fract_y
_atom_site_fract_z
Na1 Na 0.0000 0.0000 0.0000
Tl1 Tl 0.0000 0.0000 0.3912
Os1 Os 0.0000 0.5000 0.5000
O1 O 0.0513 0.5256 0.3959
O2 O 0.0793 0.5396 0.8170
```

=====

[5]
The following is a DFT calculation (PBE-GGA) of a relaxed NaTl4Os3O12 crystal.

Output
**Size of the total moment**: 0.00 μB/f.u.
**ΔE_f (raw)**: -0.851 eV/atom
**Total DFT energy (no corrections)**: -241.99 eV for the cell shown
**Theoretical density**: 9.81 g/cm³
**D(E_F)**: 0.587 states/eV per atom

Cell and atoms, written as CIF:
```
data_NaTl4Os3O12
_cell_length_a 8.1567
_cell_length_b 8.1567
_cell_length_c 8.1567
_cell_angle_alpha 90.00
_cell_angle_beta 90.00
_cell_angle_gamma 90.00
_space_group_name_H-M_alt 'I m -3 m'
_space_group_IT_number 229
_space_group_name_Hall '-I 4 2 3'
loop_
_atom_site_label
_atom_site_type_symbol
_atom_site_fract_x
_atom_site_fract_y
_atom_site_fract_z
Na1 Na 0.0000 0.0000 0.0000
Tl1 Tl 0.2500 0.2500 0.2500
Os1 Os 0.0000 0.0000 0.5000
O1 O 0.0000 0.0000 0.2764
O2 O 0.0000 0.2500 0.5000
```

=====

[6]
The following is a DFT calculation (PBE-GGA) of a relaxed Na3TlOs2O8 crystal.

Output
**Size of the total moment**: 4.00 μB/f.u.
**ΔE_f (raw)**: -1.072 eV/atom
**Total DFT energy (no corrections)**: -83.45 eV for the cell shown
**Theoretical density**: 5.01 g/cm³
**D(E_F)**: 0.246 states/eV per atom

Cell and atoms, written as CIF:
```
data_Na3TlOs2O8
_cell_length_a 5.9501
_cell_length_b 5.9501
_cell_length_c 8.4580
_cell_angle_alpha 90.00
_cell_angle_beta 90.00
_cell_angle_gamma 120.00
_space_group_name_H-M_alt 'P -3 m 1'
_space_group_IT_number 164
_space_group_name_Hall '-P 3 2"'
loop_
_atom_site_label
_atom_site_type_symbol
_atom_site_fract_x
_atom_site_fract_y
_atom_site_fract_z
Na1 Na 0.0000 0.0000 0.0000
Na2 Na 0.3333 0.6667 0.7071
Tl1 Tl 0.0000 0.0000 0.5000
Os1 Os 0.3333 0.6667 0.1741
O1 O 0.1703 0.3407 0.2563
O2 O 0.3333 0.6667 0.9627
```

=====

[7]
The following is a DFT calculation (PBE-GGA) of a relaxed NaTl3Os2O8 crystal.

Output
**Size of the total moment**: 4.01 μB/f.u.
**ΔE_f (raw)**: -0.939 eV/atom
**Total DFT energy (no corrections)**: -83.69 eV for the cell shown
**Theoretical density**: 7.20 g/cm³
**D(E_F)**: 0.056 states/eV per atom

Cell and atoms, written as CIF:
```
data_NaTl3Os2O8
_cell_length_a 6.1902
_cell_length_b 6.1902
_cell_length_c 7.9536
_cell_angle_alpha 90.00
_cell_angle_beta 90.00
_cell_angle_gamma 120.00
_space_group_name_H-M_alt 'P -3 m 1'
_space_group_IT_number 164
_space_group_name_Hall '-P 3 2"'
loop_
_atom_site_label
_atom_site_type_symbol
_atom_site_fract_x
_atom_site_fract_y
_atom_site_fract_z
Na1 Na 0.0000 0.0000 0.0000
Tl1 Tl 0.0000 0.0000 0.5000
Tl2 Tl 0.3333 0.6667 0.1612
Os1 Os 0.3333 0.6667 0.7104
O1 O 0.1758 0.3515 0.7964
O2 O 0.3333 0.6667 0.4847
```

=====

[8]
The following is a DFT calculation (PBE-GGA) of a relaxed Na3Tl2OsO6 crystal.

Output
**Size of the total moment**: 1.05 μB/f.u.
**ΔE_f (raw)**: -1.160 eV/atom
**Total DFT energy (no corrections)**: -127.17 eV for the cell shown
**Theoretical density**: 7.04 g/cm³
**D(E_F)**: 0.301 states/eV per atom

Cell and atoms, written as CIF:
```
data_Na3Tl2OsO6
_cell_length_a 6.2009
_cell_length_b 10.9653
_cell_length_c 5.7050
_cell_angle_alpha 90.00
_cell_angle_beta 111.76
_cell_angle_gamma 90.00
_space_group_name_H-M_alt 'C 1 2/m 1'
_space_group_IT_number 12
loop_
_space_group_symop_operation_xyz
'x,y,z'
'-x,-y,-z'
'-x,y,-z'
'x,-y,z'
'x+1/2,y+1/2,z'
'-x+1/2,-y+1/2,-z'
'-x+1/2,y+1/2,-z'
'x+1/2,-y+1/2,z'
loop_
_atom_site_label
_atom_site_type_symbol
_atom_site_fract_x
_atom_site_fract_y
_atom_site_fract_z
Na1 Na 0.0000 0.0000 0.0000
Na2 Na 0.0000 0.3518 0.0000
Tl1 Tl 0.0000 0.1699 0.5000
Os1 Os 0.0000 0.5000 0.5000
O1 O 0.1953 0.5000 0.3013
O2 O 0.1971 0.3741 0.7185
```

=====

[9]
The following is a DFT calculation (PBE-GGA) of a relaxed NaTl2Os2O7 crystal.

Output
**Size of the total moment**: 1.84 μB/f.u.
**ΔE_f (raw)**: -0.998 eV/atom
**Total DFT energy (no corrections)**: -150.40 eV for the cell shown
**Theoretical density**: 8.70 g/cm³
**D(E_F)**: 0.400 states/eV per atom

Cell and atoms, written as CIF:
```
data_NaTl2Os2O7
_cell_length_a 5.4302
_cell_length_b 5.4302
_cell_length_c 12.2614
_cell_angle_alpha 90.00
_cell_angle_beta 102.73
_cell_angle_gamma 90.00
_space_group_name_H-M_alt 'C 1 2/m 1'
_space_group_IT_number 12
loop_
_space_group_symop_operation_xyz
'x,y,z'
'-x,-y,-z'
'-x,y,-z'
'x,-y,z'
'x+1/2,y+1/2,z'
'-x+1/2,-y+1/2,-z'
'-x+1/2,y+1/2,-z'
'x+1/2,-y+1/2,z'
loop_
_atom_site_label
_atom_site_type_symbol
_atom_site_fract_x
_atom_site_fract_y
_atom_site_fract_z
Na1 Na 0.0000 0.0000 0.0000
Tl1 Tl 0.1904 0.0000 0.3801
Os1 Os 0.0828 0.5000 0.1664
O1 O 0.0000 0.5000 0.0000
O2 O 0.1621 0.5000 0.3262
O3 O 0.1688 0.2500 0.8367
```

=====

[10]
The following is a DFT calculation (PBE-GGA) of a relaxed NaTl3Os2O9 crystal.

Output
**Size of the total moment**: 0.00 μB/f.u.
**ΔE_f (raw)**: -0.969 eV/atom
**Total DFT energy (no corrections)**: -90.04 eV for the cell shown
**Theoretical density**: 9.03 g/cm³
**D(E_F)**: 0.513 states/eV per atom

Cell and atoms, written as CIF:
```
data_NaTl3Os2O9
_cell_length_a 5.7790
_cell_length_b 5.7790
_cell_length_c 7.3774
_cell_angle_alpha 90.00
_cell_angle_beta 90.00
_cell_angle_gamma 120.00
_space_group_name_H-M_alt 'P -3 m 1'
_space_group_IT_number 164
_space_group_name_Hall '-P 3 2"'
loop_
_atom_site_label
_atom_site_type_symbol
_atom_site_fract_x
_atom_site_fract_y
_atom_site_fract_z
Na1 Na 0.0000 0.0000 0.0000
Tl1 Tl 0.0000 0.0000 0.5000
Tl2 Tl 0.3333 0.6667 0.1502
Os1 Os 0.3333 0.6667 0.6564
O1 O 0.0000 0.5000 0.5000
O2 O 0.1805 0.3610 0.7930
```

=====

[11]
The following is a DFT calculation (PBE-GGA) of a relaxed NaTlOsO2 crystal.

Output
**Size of the total moment**: 4.09 μB/f.u.
**ΔE_f (raw)**: 1.278 eV/atom
**Total DFT energy (no corrections)**: -18.44 eV for the cell shown
**Theoretical density**: 7.06 g/cm³
**D(E_F)**: 0.370 states/eV per atom

Cell and atoms, written as CIF:
```
data_NaTlOsO2
_cell_length_a 4.3220
_cell_length_b 4.3220
_cell_length_c 5.6598
_cell_angle_alpha 90.00
_cell_angle_beta 90.00
_cell_angle_gamma 90.00
_space_group_name_H-M_alt 'P 4/m m m'
_space_group_IT_number 123
_space_group_name_Hall '-P 4 2'
loop_
_atom_site_label
_atom_site_type_symbol
_atom_site_fract_x
_atom_site_fract_y
_atom_site_fract_z
Na1 Na 0.0000 0.0000 0.0000
Tl1 Tl 0.0000 0.0000 0.5000
Os1 Os 0.5000 0.5000 0.0000
O1 O 0.0000 0.5000 0.5000
```

=====

[12]
The following is a DFT calculation (PBE-GGA) of a relaxed NaTmOsO6 crystal.

Output
**Size of the total moment**: 0.00 μB/f.u.
**ΔE_f (raw)**: -1.764 eV/atom
**Total DFT energy (no corrections)**: -62.64 eV for the cell shown
**Theoretical density**: 6.06 g/cm³

Cell and atoms, written as CIF:
```
data_NaTmOsO6
_cell_length_a 5.4954
_cell_length_b 5.4954
_cell_length_c 5.0113
_cell_angle_alpha 90.00
_cell_angle_beta 90.00
_cell_angle_gamma 120.00
_space_group_name_H-M_alt 'P 3 1 2'
_space_group_IT_number 149
loop_
_space_group_symop_operation_xyz
'x,y,z'
'-y,x-y,z'
'-x+y,-x,z'
'-y,-x,-z'
'-x+y,y,-z'
'x,x-y,-z'
loop_
_atom_site_label
_atom_site_type_symbol
_atom_site_fract_x
_atom_site_fract_y
_atom_site_fract_z
Na1 Na 0.0000 0.0000 0.0000
Tm1 Tm 0.6667 0.3333 0.5000
Os1 Os 0.3333 0.6667 0.5000
O1 O 0.0448 0.3938 0.2867
```